No. 1
VASP calculation (PBE) on BaCuHg2 after structural relaxation.

Unit cell a=5.4263 b=5.4263 c=5.4263 alpha=60.00 beta=60.00 gamma=60.00
Atoms (fractional coordinates):
Hg 0.0000 0.0000 0.0000
Hg 0.2500 0.2500 0.2500
Cu 0.7500 0.7500 0.7500
Ba 0.5000 0.5000 0.5000

## Properties
Energy of formation from the pure elements (eV/atom): -0.09
Calculated density (g cm⁻³): 8.85
DOS at the Fermi energy (states/eV per atom): 1.1402

=====

No. 2
VASP calculation (PBE) on BaCuHg2 after structural relaxation.

Unit cell a=5.9572 b=5.9572 c=5.9572 alpha=132.05 beta=132.05 gamma=70.16
Atoms (fractional coordinates):
Cu 0.7500 0.2500 0.5000
Ba 0.2500 0.7500 0.5000
Hg 0.5000 0.5000 0.0000
Hg 0.0000 0.0000 0.0000

## Properties
Energy of formation from the pure elements (eV/atom): -0.10
Calculated density (g cm⁻³): 8.75
DOS at the Fermi energy (states/eV per atom): 0.3780

=====

No. 3
VASP calculation (PBE) on BaCuHg after structural relaxation.

Unit cell a=7.9587 b=4.6200 c=11.7448 alpha=90.00 beta=128.43 gamma=90.00
Atoms (fractional coordinates):
Cu 0.3254 0.5000 0.8689
Cu 0.6746 0.0000 0.6311
Cu 0.6746 0.5000 0.1311
Cu 0.3254 0.0000 0.3689
Ba 0.2962 0.0000 0.0581
Ba 0.7038 0.5000 0.4419
Ba 0.7038 0.0000 0.9419
Ba 0.2962 0.5000 0.5581
Hg 0.1130 0.0000 0.7006
Hg 0.1130 0.5000 0.2006
Hg 0.8870 0.5000 0.7994
Hg 0.8870 0.0000 0.2994

## Properties
Energy of formation from the pure elements (eV/atom): -0.24
Calculated density (g cm⁻³): 7.88
DOS at the Fermi energy (states/eV per atom): 0.5644

=====

No. 4
VASP calculation (PBE) on BaCuHg after structural relaxation.

Unit cell a=6.4064 b=7.2621 c=8.4695 alpha=90.00 beta=90.00 gamma=116.17
Atoms (fractional coordinates):
Ba 0.1684 0.3368 0.5990
Ba 0.8316 0.6632 0.4010
Ba 0.6684 0.3368 0.9010
Ba 0.3316 0.6632 0.0990
Hg 0.1816 0.8633 0.7500
Hg 0.6816 0.8633 0.7500
Hg 0.3184 0.1367 0.2500
Hg 0.8184 0.1367 0.2500
Cu 0.5908 0.1816 0.5248
Cu 0.4092 0.8184 0.4752
Cu 0.0908 0.1816 0.9752
Cu 0.9092 0.8184 0.0248

## Properties
Energy of formation from the pure elements (eV/atom): -0.14
Calculated density (g cm⁻³): 7.54
DOS at the Fermi energy (states/eV per atom): 0.5774

=====

No. 5
VASP calculation (PBE) on BaCuHg2 after structural relaxation.

Unit cell a=5.4374 b=5.4374 c=9.8480 alpha=73.97 beta=73.97 gamma=90.00
Atoms (fractional coordinates):
Hg 0.2902 0.6250 0.2500
Hg 0.8750 0.7098 0.7500
Hg 0.4598 0.1250 0.2500
Hg 0.3750 0.5402 0.7500
Cu 0.2500 0.7500 0.5000
Cu 0.5000 0.5000 0.0000
Ba 0.7500 0.2500 0.5000
Ba 0.0000 0.0000 0.0000

## Properties
Energy of formation from the pure elements (eV/atom): -0.09
Calculated density (g cm⁻³): 7.46
DOS at the Fermi energy (states/eV per atom): 0.9441

=====

No. 6
VASP calculation (PBE) on BaCuHg after structural relaxation.

Unit cell a=5.1338 b=5.1338 c=5.1338 alpha=60.00 beta=60.00 gamma=60.00
Atoms (fractional coordinates):
Ba 0.5000 0.5000 0.5000
Cu 0.7500 0.7500 0.7500
Hg 0.0000 0.0000 0.0000

## Properties
Energy of formation from the pure elements (eV/atom): -0.10
Calculated density (g cm⁻³): 6.97
DOS at the Fermi energy (states/eV per atom): 0.8165

=====

No. 7
VASP calculation (PBE) on BaCu2Hg after structural relaxation.

Unit cell a=4.6415 b=4.7338 c=5.0661 alpha=89.97 beta=90.00 gamma=90.00
Atoms (fractional coordinates):
Hg 0.5000 0.2500 0.2500
Cu 0.0000 0.2505 0.5072
Cu 0.0000 0.2495 0.9928
Ba 0.5000 0.7500 0.7500

## Properties
Energy of formation from the pure elements (eV/atom): -0.01
Calculated density (g cm⁻³): 6.94
DOS at the Fermi energy (states/eV per atom): 0.6154

=====

No. 8
VASP calculation (PBE) on Ba2Cu2Hg after structural relaxation.

Unit cell a=6.2487 b=6.2487 c=5.9341 alpha=58.23 beta=58.23 gamma=90.00
Atoms (fractional coordinates):
Ba 0.2500 0.7500 0.5000
Ba 0.7500 0.2500 0.5000
Hg 0.0000 0.0000 0.0000
Cu 0.3510 0.3510 0.2980
Cu 0.6490 0.6490 0.7020

## Properties
Energy of formation from the pure elements (eV/atom): -0.06
Calculated density (g cm⁻³): 6.47
Energy above the most stable polymorph in this dataset (eV per atom): 0.066
DOS at the Fermi energy (states/eV per atom): 0.3041

=====

Which electronic total energy belongs to each record? In order, -1.74; -1.76; -2.34; -2.25; -1.75; -2.20; -2.62; -2.53 eV per atom.